No. 1
Compound: La6P5F
Source: Alexandria
Functional: PBE
Structure: optimized geometry

Structure (extended XYZ):
```
12
Lattice="-3.9709 -1.2967 -5.9778 -1.6171 -7.1092 -0.3633 -6.0988 -2.5193 3.1079" Properties=species:S:1:pos:R:3 pbc="T T T"
P -6.3097 -3.5149 -0.9844
P -2.5718 -3.2096 0.9147
P -2.7940 -4.2029 -3.1706
P -5.1442 -6.4190 1.8299
P -5.3770 -7.4103 -2.2488
F 0.0000 0.0000 0.0000
La -5.1595 -2.4121 -3.4617
La -3.9864 -5.2976 -0.6671
La -1.4166 -2.1279 -1.6085
La -4.1713 -6.2780 -4.7326
La -7.7004 -5.6277 -2.5661
La -6.5273 -8.5132 0.2285
```

Summary:
Crystal system: monoclinic
D(E_F) (states/eV per cell): 3.553
Formation energy (no corrections) (eV per atom): -1.795
Uncorrected energy (eV per atom): -6.6693

---

No. 2
Compound: La3P2F
Source: Alexandria
Functional: PBE
Structure: optimized geometry

Structure (extended XYZ):
```
12
Lattice="-3.1806 1.2303 -2.3951 3.9132 -4.3172 -3.7888 -5.9138 -8.4453 3.5152" Properties=species:S:1:pos:R:3 pbc="T T T"
La -6.4029 -8.2916 0.6183
La -4.0836 -8.8140 -2.7300
La -4.3022 -5.2917 -0.6304
La -1.0976 -2.7183 0.0613
La 1.2217 -3.2407 -3.2870
La -0.8790 -6.2406 -2.0383
P 0.0000 0.0000 0.0000
P -2.9569 -4.2227 1.7576
P -1.9345 -3.3039 -2.7535
P -3.2467 -8.2284 0.0848
F 0.7015 -5.5857 -3.8008
F -5.8827 -5.9466 1.1321
```

Summary:
Crystal system: orthorhombic
D(E_F) (states/eV per cell): 7.979
Formation energy (no corrections) (eV per atom): -1.907
Uncorrected energy (eV per atom): -6.4862

---

No. 3
Compound: La2PF
Source: Alexandria
Functional: PBE
Structure: optimized geometry

Structure (extended XYZ):
```
4
Lattice="4.0802 0.0000 0.0000 2.0401 3.5336 0.0000 2.0401 1.1779 6.3362" Properties=species:S:1:pos:R:3 pbc="T T T"
P 0.0000 0.0000 0.0000
F 4.0802 2.3557 3.1681
La 2.0401 1.1779 1.6389
La 6.1204 3.5336 4.6972
```

Summary:
Crystal system: trigonal
D(E_F) (states/eV per cell): 1.929
Formation energy (no corrections) (eV per atom): -2.106
Uncorrected energy (eV per atom): -6.3896

---

No. 4
Compound: La2PF3
Source: Alexandria
Functional: PBE
Structure: optimized geometry

Structure (extended XYZ):
```
12
Lattice="4.0282 0.0000 0.0000 -2.0141 7.6867 -0.1656 0.0000 -3.6431 7.2274" Properties=species:S:1:pos:R:3 pbc="T T T"
La 0.0000 4.6287 5.4212
La 2.0141 -0.5851 1.6406
La 2.0141 3.3474 1.9517
La 0.0000 0.6962 5.1102
P 2.0141 2.2167 6.7516
P 0.0000 1.8269 0.3102
F 0.0000 2.7876 3.8423
F 2.0141 4.6479 4.1027
F 2.0141 -0.7749 4.8661
F 0.0000 4.8184 2.1957
F 0.0000 -0.6044 2.9591
F 2.0141 1.2559 3.2195
```

Summary:
Crystal system: monoclinic
Formation energy (no corrections) (eV per atom): -3.200
Uncorrected energy (eV per atom): -6.6801

---

No. 5
Compound: La2PF
Source: Alexandria
Functional: PBE
Structure: optimized geometry

Structure (extended XYZ):
```
8
Lattice="-5.5311 2.7571 0.6059 -1.8676 -4.5737 3.7624 -1.5725 2.2758 7.1107" Properties=species:S:1:pos:R:3 pbc="T T T"
P 0.0000 0.0000 0.0000
P -5.4015 2.0623 4.9504
F -3.6994 -0.9083 2.1842
F -3.5698 -1.6031 6.5286
La -3.9555 1.6566 2.6127
La -2.3798 -1.8812 4.2189
La -3.9972 0.9197 7.0582
La -7.6101 0.2231 9.0682
```

Summary:
Crystal system: tetragonal
D(E_F) (states/eV per cell): 2.937
Formation energy (no corrections) (eV per atom): -1.717
Uncorrected energy (eV per atom): -6.0012

---

No. 6
Compound: La2PF
Source: Alexandria
Functional: PBE
Structure: optimized geometry

Structure (extended XYZ):
```
4
Lattice="0.0000 3.5041 3.5041 3.5041 0.0000 3.5041 3.5041 3.5041 0.0000" Properties=species:S:1:pos:R:3 pbc="T T T"
P 3.5041 3.5041 3.5041
F 0.0000 0.0000 0.0000
La 1.7520 1.7520 1.7520
La 5.2561 5.2561 5.2561
```

Summary:
Crystal system: cubic
D(E_F) (states/eV per cell): 4.401
Formation energy (no corrections) (eV per atom): -1.822
Uncorrected energy (eV per atom): -6.1062

---

No. 7
Compound: La2PF
Source: Alexandria
Functional: PBE
Structure: optimized geometry

Structure (extended XYZ):
```
4
Lattice="-3.0881 -1.1388 -2.2308 -0.8688 -3.8624 -0.3692 -5.4944 -1.2605 4.7059" Properties=species:S:1:pos:R:3 pbc="T T T"
La -4.4802 -1.3593 3.3524
La -2.2998 -1.5716 0.4424
P -8.1105 -4.5968 2.9435
F -4.7807 -3.1255 1.1265
```

Summary:
Crystal system: trigonal
D(E_F) (states/eV per cell): 1.603
Formation energy (no corrections) (eV per atom): -1.995
Uncorrected energy (eV per atom): -6.2786

---

No. 8
Compound: La2PF2
Source: Alexandria
Functional: PBE
Structure: optimized geometry

Structure (extended XYZ):
```
5
Lattice="3.8080 0.0000 0.0000 0.0000 3.8080 0.0000 1.9040 1.9040 6.6999" Properties=species:S:1:pos:R:3 pbc="T T T"
P 0.0000 0.0000 0.0000
F 3.8080 1.9040 3.3500
F 1.9040 3.8080 3.3500
La 1.9040 1.9040 1.6557
La 3.8080 3.8080 5.0442
```

Summary:
Crystal system: tetragonal
D(E_F) (states/eV per cell): 2.243
Formation energy (no corrections) (eV per atom): -2.735
Uncorrected energy (eV per atom): -6.5367

---

- What is the formation energy (no corrections) in the eighth record?
  -2.735 eV per atom